(1)
# CeHoTlPt

A geometry-optimized CeHoTlPt structure (PBE, Alexandria via LeMat-Bulk).

## Properties
Total moment, μB per atom: 0.1585
Symmetry: F-43m, No. 216
Electronic total energy, eV per atom: -5.308
ΔH_f (0 K), eV/atom: -0.578

a b c (Å): 5.210 5.210 5.210
angles (deg): 60.00 60.00 60.00
Element x y z (fractional)
Pt1 0.250 0.250 0.250
Tl1 0.750 0.750 0.750
Ce1 0.500 0.500 0.500
Ho1 0.000 0.000 0.000

---

(2)
# HfZrFe4

A geometry-optimized HfZrFe4 structure (PBE, Alexandria via LeMat-Bulk).

## Properties
Total moment, μB per atom: 1.0594
Symmetry: F-43m, No. 216
Electronic total energy, eV per atom: -9.040
ΔH_f (0 K), eV/atom: -0.315

a b c (Å): 4.959 4.959 4.959
angles (deg): 90.00 60.00 120.00
Element x y z (fractional)
Fe1 0.750 0.375 0.874
Fe2 0.250 0.375 0.375
Fe3 0.250 0.874 0.375
Fe4 0.750 0.375 0.375
Hf1 0.500 0.750 0.750
Zr1 0.000 0.000 0.000

---

(3)
# YCoCu2

A geometry-optimized YCoCu2 structure (PBE, Alexandria via LeMat-Bulk).

## Properties
Distance to the lowest polymorph of the same formula, eV per atom: 0.114
Total moment, μB per atom: 0.2226
Symmetry: Pmm2, No. 25
Electronic total energy, eV per atom: -5.390
ΔH_f (0 K), eV/atom: 0.051

a b c (Å): 3.267 3.236 6.812
angles (deg): 61.66 90.00 90.00
Element x y z (fractional)
Co1 0.500 0.708 0.793
Cu1 0.500 0.304 0.196
Cu2 0.000 0.000 0.000
Y1 0.000 0.488 0.512

---

(4)
# Be2RhPb

A geometry-optimized Be2RhPb structure (PBE, Alexandria via LeMat-Bulk).

## Properties
Total moment, μB per atom: 0.0000
Symmetry: C2/m, No. 12
Electronic total energy, eV per atom: -4.605
ΔH_f (0 K), eV/atom: 0.023

a b c (Å): 3.911 3.911 5.415
angles (deg): 68.13 68.13 60.31
Element x y z (fractional)
Pb1 0.750 0.750 0.750
Be1 0.562 0.562 0.314
Be2 0.938 0.938 0.186
Rh1 0.250 0.250 0.250

---

(5)
# CoSbOs

A geometry-optimized CoSbOs structure (PBE, Alexandria via LeMat-Bulk).

## Properties
Distance to the lowest polymorph of the same formula, eV per atom: 0.143
Total moment, μB per atom: 0.6797
Symmetry: I4mm, No. 107
Electronic total energy, eV per atom: -6.955
Raw formation energy, eV/atom: 0.531

a b c (Å): 4.985 4.985 4.985
angles (deg): 142.13 142.13 54.63
Element x y z (fractional)
Sb1 0.662 0.662 0.000
Co1 0.003 0.003 0.000
Os1 0.335 0.335 0.000

---

(6)
# Ta2AgP

A geometry-optimized Ta2AgP structure (PBE, Alexandria via LeMat-Bulk).

## Properties
Total moment, μB per atom: 0.0000
Symmetry: Cm, No. 8
Electronic total energy, eV per atom: -7.934
ΔH_f (0 K), eV/atom: 0.058

a b c (Å): 5.321 5.321 4.575
angles (deg): 65.49 65.49 34.64
Element x y z (fractional)
Ta1 0.753 0.753 0.742
Ta2 0.965 0.965 0.053
P1 0.256 0.256 0.212
Ag1 0.526 0.526 0.492

---

(7)
# CsNaPb2

A geometry-optimized CsNaPb2 structure (PBE, Alexandria via LeMat-Bulk).

## Properties
Distance to the lowest polymorph of the same formula, eV per atom: 0.010
Total moment, μB per atom: 0.0000
Symmetry: P4/mmm, No. 123
Electronic total energy, eV per atom: -2.514
ΔH_f (0 K), eV/atom: -0.117

a b c (Å): 4.056 4.056 8.901
angles (deg): 90.00 90.00 90.00
Element x y z (fractional)
Na1 0.500 0.500 0.000
Pb1 0.000 0.000 0.821
Pb2 0.000 0.000 0.179
Cs1 0.500 0.500 0.500

---

(8)
# YZrNi3

A geometry-optimized YZrNi3 structure (PBE, Alexandria via LeMat-Bulk).

## Properties
Distance to the lowest polymorph of the same formula, eV per atom: 0.000
Total moment, μB per atom: 0.0000
Symmetry: Pm-3m, No. 221
Electronic total energy, eV per atom: -6.096
ΔH_f (0 K), eV/atom: 0.375

a b c (Å): 4.654 4.654 4.654
angles (deg): 90.00 90.00 90.00
Element x y z (fractional)
Ni1 0.500 0.000 0.000
Ni2 0.000 0.500 0.000
Ni3 0.000 0.000 0.500
Y1 0.500 0.500 0.500
Zr1 0.000 0.000 0.000

---

(9)
# ZrAl2Ru3

A geometry-optimized ZrAl2Ru3 structure (PBE, Alexandria via LeMat-Bulk).

## Properties
Total moment, μB per atom: 0.0000
Symmetry: P4/mmm, No. 123
Electronic total energy, eV per atom: -7.943
ΔH_f (0 K), eV/atom: -0.633

a b c (Å): 3.141 3.141 9.109
angles (deg): 90.00 90.00 90.00
Element x y z (fractional)
Al1 0.500 0.500 0.157
Al2 0.500 0.500 0.843
Ru1 0.000 0.000 0.681
Ru2 0.000 0.000 0.000
Ru3 0.000 0.000 0.319
Zr1 0.500 0.500 0.500

---

(10)
# Tb3CePm6Er2

A geometry-optimized Tb3CePm6Er2 structure (PBE, Alexandria via LeMat-Bulk).

## Properties
Total moment, μB per atom: 0.1128
Symmetry: C2/m, No. 12
Electronic total energy, eV per atom: -4.751
ΔH_f (0 K), eV/atom: 0.037

a b c (Å): 6.238 6.238 11.891
angles (deg): 95.03 95.03 120.01
Element x y z (fractional)
Pm1 0.917 0.586 0.751
Pm2 0.414 0.083 0.249
Pm3 0.083 0.414 0.249
Pm4 0.249 0.249 0.751
Pm5 0.586 0.917 0.751
Pm6 0.751 0.751 0.249
Ce1 0.000 0.000 0.000
Tb1 0.167 0.833 0.500
Tb2 0.833 0.167 0.500
Tb3 0.500 0.500 0.500
Er1 0.334 0.666 0.000
Er2 0.666 0.334 0.000

---

(11)
# PmDyThCd

A geometry-optimized PmDyThCd structure (PBE, Alexandria via LeMat-Bulk).

## Properties
Distance to the lowest polymorph of the same formula, eV per atom: 0.000
Total moment, μB per atom: 0.0000
Symmetry: P4mm, No. 99
Electronic total energy, eV per atom: -4.589
ΔH_f (0 K), eV/atom: -0.167

a b c (Å): 3.632 3.632 8.951
angles (deg): 90.00 90.00 90.00
Element x y z (fractional)
Pm1 0.000 0.000 0.088
Dy1 0.000 0.000 0.552
Cd1 0.500 0.500 0.329
Th1 0.500 0.500 0.816

---

(12)
# K2TbPaTe4

A geometry-optimized K2TbPaTe4 structure (PBE, Alexandria via LeMat-Bulk).

## Properties
Total moment, μB per atom: 0.2450
Symmetry: P2/m, No. 10
Electronic total energy, eV per atom: -4.757
Raw formation energy, eV/atom: -1.146

a b c (Å): 4.442 7.768 8.732
angles (deg): 106.93 90.00 90.00
Element x y z (fractional)
K1 0.500 0.000 0.500
K2 0.000 0.500 0.500
Te1 0.000 0.740 0.214
Te2 0.000 0.260 0.786
Te3 0.500 0.763 0.788
Te4 0.500 0.237 0.212
Pa1 0.500 0.500 0.000
Tb1 0.000 0.000 0.000

---

(13)
# KSr2Tc

A geometry-optimized KSr2Tc structure (PBE, Alexandria via LeMat-Bulk).

## Properties
Distance to the lowest polymorph of the same formula, eV per atom: 0.160
Total moment, μB per atom: 0.4364
Symmetry: Imm2, No. 44
Electronic total energy, eV per atom: -2.929
ΔH_f (0 K), eV/atom: 0.778

a b c (Å): 9.722 9.722 5.250
angles (deg): 74.33 74.33 21.31
Element x y z (fractional)
Tc1 0.488 0.488 0.512
Sr1 0.849 0.849 0.651
Sr2 0.000 0.000 0.000
K1 0.163 0.163 0.337

---

(14)
# ZrTlRe2

A geometry-optimized ZrTlRe2 structure (PBE, Alexandria via LeMat-Bulk).

## Properties
Distance to the lowest polymorph of the same formula, eV per atom: 0.331
Total moment, μB per atom: 0.0000
Symmetry: P2/m, No. 10
Electronic total energy, eV per atom: -8.474
ΔH_f (0 K), eV/atom: 0.479

a b c (Å): 4.822 2.909 5.401
angles (deg): 87.53 90.00 90.00
Element x y z (fractional)
Re1 0.000 0.390 0.534
Re2 0.000 0.110 0.966
Tl1 0.500 0.250 0.250
Zr1 0.500 0.750 0.750